Computed, not measured: a relaxed structure of Ti3Ni20B6 at the GGA-PBE level of DFT.

Results
The formation energy is -0.425 eV/atom.

Lattice parameters (Å, degrees): 10.535 10.535 10.535 90.00 90.00 90.00
Space group Fm-3m (No. 225)
Inequivalent atoms, fractional coordinates:
Ti 0.000 0.000 0.000 (multiplicity 4)
Ti 0.250 0.250 0.250 (multiplicity 8)
Ni 0.000 0.171 0.171 (multiplicity 48)
Ni 0.117 0.117 0.383 (multiplicity 32)
B 0.000 0.000 0.268 (multiplicity 24)